# 1
# KCaCl2

An optimized crystal structure of KCaCl2 (PBE, Alexandria).

a b c (Å): 4.225 8.800 4.109
angles (deg): 90.00 90.00 90.00
Fractional coordinates of all 4 atoms:
K (0.500, 0.000, 0.500)
Cl (0.500, 0.500, 0.000)
Cl (0.000, 0.000, 0.000)
Ca (0.000, 0.500, 0.500)

Summary:
The raw formation energy is -1.4911 eV/atom. Its polymorph energy (0 for the lowest one) is 0.97 eV/f.u. The value obtained for the total energy is -3.19 eV per atom. The value obtained for the density of states at the Fermi level is 1.34 states/eV/f.u.

---

# 2
# AlFeB2Pt

An optimized crystal structure of AlFeB2Pt (PBE, Alexandria).

a b c (Å): 3.997 5.134 3.997
angles (deg): 90.00 90.00 90.00
Fractional coordinates of all 5 atoms:
B (0.000, 0.000, 0.500)
Pt (0.000, 0.000, 0.000)
B (0.500, 0.000, 0.000)
Al (0.000, 0.500, 0.000)
Fe (0.500, 0.500, 0.500)

Summary:
The value obtained for the total energy is -5.40 eV per atom. The value obtained for the density of states at the Fermi level is 1.17 states/eV/f.u. Its energy of formation is 0.919 eV per atom.